A plane-wave DFT calculation with GGA-PBE was carried out for SbTeRu2 after structural relaxation.

```
SbTeRu2
1.0
-2.941 2.941 5.904
2.941 -2.941 5.904
2.941 2.941 -5.904
Sb Te Ru
2 2 4
direct
0.000 0.000 0.000
0.750 0.250 0.500
0.250 0.750 0.500
0.500 0.500 0.000
0.128 0.625 0.003
0.375 0.378 0.503
0.622 0.125 0.997
0.875 0.872 0.497
```

Results
Formation energy (no corrections) (eV/f.u.): 1.50
Total magnetization (Bohr magnetons per cell): 0.000